Density functional theory data (SCAN) for YCu2OsI at its PBEsol-relaxed geometry.

Results
Total magnetic moment = 0.772 μB/atom
Crystal system = tetragonal
Total energy = -31.3915 eV/atom

Cell: 4.948 4.948 5.522 Å, 90.00 90.00 90.00°
Sites, in units of the cell vectors:
I (0.000, 0.000, 0.500)
Y (0.000, 0.000, 0.000)
Os (0.500, 0.500, 0.500)
Cu (0.000, 0.500, 0.000)
Cu (0.500, 0.000, 0.000)